No. 1
Entry from Alexandria: an optimized crystal structure of La2Mg2Pd (PBE).

## Properties
ΔE_f (meV/atom): -240
D(E_F) (states/eV/cell): 2.603

The structure in CIF format:
```
data_La2Mg2Pd
_chemical_formula_sum 'La4 Mg4 Pd2'
_symmetry_space_group_name_H-M 'P 1'
_symmetry_Int_Tables_number 1
_cell_length_a 6.9654
_cell_length_b 6.9654
_cell_length_c 5.4597
_cell_angle_alpha 90.00
_cell_angle_beta 90.00
_cell_angle_gamma 90.00
loop_
_symmetry_equiv_pos_as_xyz
'x,y,z'
loop_
_atom_site_label
_atom_site_type_symbol
_atom_site_fract_x
_atom_site_fract_y
_atom_site_fract_z
La1 La 0.1674 0.3326 0.0000
La2 La 0.3326 0.8326 0.0000
La3 La 0.6674 0.1674 0.0000
La4 La 0.8326 0.6674 0.0000
Mg1 Mg 0.1497 0.6497 0.5000
Mg2 Mg 0.3503 0.1497 0.5000
Mg3 Mg 0.6497 0.8503 0.5000
Mg4 Mg 0.8503 0.3503 0.5000
Pd1 Pd 0.0000 0.0000 0.5000
Pd2 Pd 0.5000 0.5000 0.5000
```

No. 2
Entry from Alexandria: an optimized crystal structure of La4MgPd2 (PBE).

## Properties
ΔE_f (meV/atom): -371
D(E_F) (states/eV/cell): 7.404

The structure in CIF format:
```
data_La4MgPd2
_chemical_formula_sum 'La4 Mg1 Pd2'
_symmetry_space_group_name_H-M 'P 1'
_symmetry_Int_Tables_number 1
_cell_length_a 9.4838
_cell_length_b 9.4838
_cell_length_c 9.4838
_cell_angle_alpha 31.92
_cell_angle_beta 31.92
_cell_angle_gamma 31.92
loop_
_symmetry_equiv_pos_as_xyz
'x,y,z'
loop_
_atom_site_label
_atom_site_type_symbol
_atom_site_fract_x
_atom_site_fract_y
_atom_site_fract_z
La1 La 0.1154 0.1154 0.1154
La2 La 0.2903 0.2903 0.2903
La3 La 0.7097 0.7097 0.7097
La4 La 0.8846 0.8846 0.8846
Mg1 Mg 0.5000 0.5000 0.5000
Pd1 Pd 0.4009 0.4009 0.4009
Pd2 Pd 0.5991 0.5991 0.5991
```

No. 3
Entry from Alexandria: an optimized crystal structure of La3Mg9Pd2 (PBE).

## Properties
ΔE_f (meV/atom): -256
D(E_F) (states/eV/cell): 10.183

The structure in CIF format:
```
data_La3Mg9Pd2
_chemical_formula_sum 'La3 Mg9 Pd2'
_symmetry_space_group_name_H-M 'P 1'
_symmetry_Int_Tables_number 1
_cell_length_a 8.6708
_cell_length_b 8.6708
_cell_length_c 8.6708
_cell_angle_alpha 146.07
_cell_angle_beta 102.93
_cell_angle_gamma 86.93
loop_
_symmetry_equiv_pos_as_xyz
'x,y,z'
loop_
_atom_site_label
_atom_site_type_symbol
_atom_site_fract_x
_atom_site_fract_y
_atom_site_fract_z
La1 La 0.0000 0.0000 0.0000
La2 La 0.2960 0.2960 0.0000
La3 La 0.7040 0.7040 0.0000
Mg1 Mg 0.0082 0.3661 0.6421
Mg2 Mg 0.1524 0.8703 0.2820
Mg3 Mg 0.2760 0.6339 0.6421
Mg4 Mg 0.4117 0.1297 0.2820
Mg5 Mg 0.5000 0.0000 0.5000
Mg6 Mg 0.5883 0.8703 0.7180
Mg7 Mg 0.7240 0.3661 0.3579
Mg8 Mg 0.8476 0.1297 0.7180
Mg9 Mg 0.9918 0.6339 0.3579
Pd1 Pd 0.3454 0.5000 0.8454
Pd2 Pd 0.6546 0.5000 0.1546
```

No. 4
Entry from Alexandria: an optimized crystal structure of LaMg2Pd2 (PBE).

## Properties
ΔE_f (meV/atom): -545
D(E_F) (states/eV/cell): 6.307
Energy above the most stable polymorph in this dataset (meV per atom): 123

The structure in CIF format:
```
data_LaMg2Pd2
_chemical_formula_sum 'La2 Mg4 Pd4'
_symmetry_space_group_name_H-M 'P 1'
_symmetry_Int_Tables_number 1
_cell_length_a 8.1105
_cell_length_b 8.1105
_cell_length_c 3.0291
_cell_angle_alpha 90.00
_cell_angle_beta 90.00
_cell_angle_gamma 90.00
loop_
_symmetry_equiv_pos_as_xyz
'x,y,z'
loop_
_atom_site_label
_atom_site_type_symbol
_atom_site_fract_x
_atom_site_fract_y
_atom_site_fract_z
La1 La 0.0000 0.0000 0.0000
La2 La 0.5000 0.5000 0.0000
Mg1 Mg 0.1221 0.3779 0.0000
Mg2 Mg 0.3779 0.8779 0.0000
Mg3 Mg 0.6221 0.1221 0.0000
Mg4 Mg 0.8779 0.6221 0.0000
Pd1 Pd 0.1730 0.6730 0.5000
Pd2 Pd 0.3270 0.1730 0.5000
Pd3 Pd 0.6730 0.8270 0.5000
Pd4 Pd 0.8270 0.3270 0.5000
```

No. 5
Entry from Alexandria: an optimized crystal structure of LaMgPd (PBE).

## Properties
ΔE_f (meV/atom): -640
D(E_F) (states/eV/cell): 13.320

The structure in CIF format:
```
data_LaMgPd
_chemical_formula_sum 'La6 Mg6 Pd6'
_symmetry_space_group_name_H-M 'P 1'
_symmetry_Int_Tables_number 1
_cell_length_a 13.7869
_cell_length_b 4.1256
_cell_length_c 7.7839
_cell_angle_alpha 90.00
_cell_angle_beta 90.00
_cell_angle_gamma 90.00
loop_
_symmetry_equiv_pos_as_xyz
'x,y,z'
loop_
_atom_site_label
_atom_site_type_symbol
_atom_site_fract_x
_atom_site_fract_y
_atom_site_fract_z
La1 La 0.0408 0.0000 0.2364
La2 La 0.2500 0.0000 0.8649
La3 La 0.4592 0.0000 0.2364
La4 La 0.5408 0.0000 0.7636
La5 La 0.7500 0.0000 0.1351
La6 La 0.9592 0.0000 0.7636
Mg1 Mg 0.1313 0.5000 0.5686
Mg2 Mg 0.2500 0.5000 0.2174
Mg3 Mg 0.3687 0.5000 0.5686
Mg4 Mg 0.6313 0.5000 0.4314
Mg5 Mg 0.7500 0.5000 0.7826
Mg6 Mg 0.8687 0.5000 0.4314
Pd1 Pd 0.0992 0.5000 0.9446
Pd2 Pd 0.2500 0.0000 0.4496
Pd3 Pd 0.4008 0.5000 0.9446
Pd4 Pd 0.5992 0.5000 0.0554
Pd5 Pd 0.7500 0.0000 0.5504
Pd6 Pd 0.9008 0.5000 0.0554
```

No. 6
Entry from Alexandria: an optimized crystal structure of LaMg3Pd2 (PBE).

## Properties
ΔE_f (meV/atom): -551
D(E_F) (states/eV/cell): 4.926

The structure in CIF format:
```
data_LaMg3Pd2
_chemical_formula_sum 'La2 Mg6 Pd4'
_symmetry_space_group_name_H-M 'P 1'
_symmetry_Int_Tables_number 1
_cell_length_a 8.7442
_cell_length_b 8.7442
_cell_length_c 8.8858
_cell_angle_alpha 119.79
_cell_angle_beta 119.79
_cell_angle_gamma 27.44
loop_
_symmetry_equiv_pos_as_xyz
'x,y,z'
loop_
_atom_site_label
_atom_site_type_symbol
_atom_site_fract_x
_atom_site_fract_y
_atom_site_fract_z
La1 La 0.1367 0.1367 0.1910
La2 La 0.8633 0.8633 0.8090
Mg1 Mg 0.0373 0.0373 0.6966
Mg2 Mg 0.3202 0.3202 0.0934
Mg3 Mg 0.3793 0.3793 0.4932
Mg4 Mg 0.6207 0.6207 0.5068
Mg5 Mg 0.6798 0.6798 0.9066
Mg6 Mg 0.9627 0.9627 0.3034
Pd1 Pd 0.2078 0.2078 0.7312
Pd2 Pd 0.4956 0.4956 0.1518
Pd3 Pd 0.5044 0.5044 0.8482
Pd4 Pd 0.7922 0.7922 0.2688
```

No. 7
Entry from Alexandria: an optimized crystal structure of LaMg9Pd3 (PBE).

## Properties
ΔE_f (meV/atom): -400
D(E_F) (states/eV/cell): 7.013

The structure in CIF format:
```
data_LaMg9Pd3
_chemical_formula_sum 'La1 Mg9 Pd3'
_symmetry_space_group_name_H-M 'P 1'
_symmetry_Int_Tables_number 1
_cell_length_a 7.6311
_cell_length_b 7.6311
_cell_length_c 7.2219
_cell_angle_alpha 97.48
_cell_angle_beta 97.48
_cell_angle_gamma 136.66
loop_
_symmetry_equiv_pos_as_xyz
'x,y,z'
loop_
_atom_site_label
_atom_site_type_symbol
_atom_site_fract_x
_atom_site_fract_y
_atom_site_fract_z
La1 La 0.0000 0.0000 0.0000
Mg1 Mg 0.0000 0.0000 0.5000
Mg2 Mg 0.0208 0.6643 0.6718
Mg3 Mg 0.2949 0.5206 0.7850
Mg4 Mg 0.3357 0.9792 0.3282
Mg5 Mg 0.4794 0.7051 0.2150
Mg6 Mg 0.5206 0.2949 0.7850
Mg7 Mg 0.6643 0.0208 0.6718
Mg8 Mg 0.7051 0.4794 0.2150
Mg9 Mg 0.9792 0.3357 0.3282
Pd1 Pd 0.0000 0.5000 0.0000
Pd2 Pd 0.5000 0.0000 0.0000
Pd3 Pd 0.5000 0.5000 0.5000
```

No. 8
Entry from Alexandria: an optimized crystal structure of LaMg2Pd2 (PBE).

## Properties
ΔE_f (meV/atom): -563
D(E_F) (states/eV/cell): 6.979
Energy above the most stable polymorph in this dataset (meV per atom): 105

The structure in CIF format:
```
data_LaMg2Pd2
_chemical_formula_sum 'La2 Mg4 Pd4'
_symmetry_space_group_name_H-M 'P 1'
_symmetry_Int_Tables_number 1
_cell_length_a 7.9144
_cell_length_b 7.9144
_cell_length_c 3.3133
_cell_angle_alpha 90.00
_cell_angle_beta 90.00
_cell_angle_gamma 90.00
loop_
_symmetry_equiv_pos_as_xyz
'x,y,z'
loop_
_atom_site_label
_atom_site_type_symbol
_atom_site_fract_x
_atom_site_fract_y
_atom_site_fract_z
La1 La 0.0000 0.0000 0.0000
La2 La 0.5000 0.5000 0.0000
Mg1 Mg 0.1351 0.3649 0.5000
Mg2 Mg 0.3649 0.8649 0.5000
Mg3 Mg 0.6351 0.1351 0.5000
Mg4 Mg 0.8649 0.6351 0.5000
Pd1 Pd 0.1547 0.6547 0.0000
Pd2 Pd 0.3453 0.1547 0.0000
Pd3 Pd 0.6547 0.8453 0.0000
Pd4 Pd 0.8453 0.3453 0.0000
```

No. 9
Entry from Alexandria: an optimized crystal structure of La2MgPd (PBE).

## Properties
ΔE_f (meV/atom): -423
D(E_F) (states/eV/cell): 4.625

The structure in CIF format:
```
data_La2MgPd
_chemical_formula_sum 'La2 Mg1 Pd1'
_symmetry_space_group_name_H-M 'P 1'
_symmetry_Int_Tables_number 1
_cell_length_a 3.8092
_cell_length_b 3.8092
_cell_length_c 7.6985
_cell_angle_alpha 90.00
_cell_angle_beta 90.00
_cell_angle_gamma 90.00
loop_
_symmetry_equiv_pos_as_xyz
'x,y,z'
loop_
_atom_site_label
_atom_site_type_symbol
_atom_site_fract_x
_atom_site_fract_y
_atom_site_fract_z
La1 La 0.0000 0.0000 0.2204
La2 La 0.0000 0.0000 0.7796
Mg1 Mg 0.5000 0.5000 0.5000
Pd1 Pd 0.5000 0.5000 0.0000
```

No. 10
Entry from Alexandria: an optimized crystal structure of LaMg4Pd2 (PBE).

## Properties
ΔE_f (meV/atom): -537
D(E_F) (states/eV/cell): 7.270
Energy above the most stable polymorph in this dataset (meV per atom): 0

The structure in CIF format:
```
data_LaMg4Pd2
_chemical_formula_sum 'La2 Mg8 Pd4'
_symmetry_space_group_name_H-M 'P 1'
_symmetry_Int_Tables_number 1
_cell_length_a 8.1524
_cell_length_b 8.1524
_cell_length_c 4.5526
_cell_angle_alpha 90.00
_cell_angle_beta 90.00
_cell_angle_gamma 90.00
loop_
_symmetry_equiv_pos_as_xyz
'x,y,z'
loop_
_atom_site_label
_atom_site_type_symbol
_atom_site_fract_x
_atom_site_fract_y
_atom_site_fract_z
La1 La 0.0000 0.0000 0.0000
La2 La 0.5000 0.5000 0.5000
Mg1 Mg 0.0860 0.3367 0.5000
Mg2 Mg 0.1633 0.5860 0.0000
Mg3 Mg 0.3367 0.0860 0.5000
Mg4 Mg 0.4140 0.8367 0.0000
Mg5 Mg 0.5860 0.1633 0.0000
Mg6 Mg 0.6633 0.9140 0.5000
Mg7 Mg 0.8367 0.4140 0.0000
Mg8 Mg 0.9140 0.6633 0.5000
Pd1 Pd 0.2360 0.7640 0.5000
Pd2 Pd 0.2640 0.2640 0.0000
Pd3 Pd 0.7360 0.7360 0.0000
Pd4 Pd 0.7640 0.2360 0.5000
```